Record 1
Here is a relaxed ScMn crystal from Alexandria via LeMat-Bulk. Energies are from GGA-PBEsol.

Structure (extended XYZ):
```
8
Lattice="3.045 0.000 0.000 0.000 4.412 0.000 0.000 0.000 9.126" Properties=species:S:1:pos:R:3 pbc="T T T"
Sc 0.000 1.103 1.008
Sc 0.000 3.309 8.117
Sc 1.522 1.103 3.555
Sc 1.522 3.309 5.571
Mn 0.000 1.103 6.012
Mn 0.000 3.309 3.114
Mn 1.522 1.103 7.676
Mn 1.522 3.309 1.449
```

Computed properties:
* space-group type: No. 74
* uncorrected energy: -8.095 eV/atom
* E_form: 0.09 eV per atom
* crystal system: orthorhombic



Record 2
Here is a relaxed AlAg3 crystal from Alexandria via LeMat-Bulk. Energies are from GGA-PBEsol.

Structure (extended XYZ):
```
16
Lattice="9.339 0.000 0.000 0.000 2.914 0.000 -2.144 0.000 9.563" Properties=species:S:1:pos:R:3 pbc="T T T"
Al 1.980 0.000 1.213
Al 0.544 1.457 8.350
Al 6.650 1.457 1.213
Al 5.214 0.000 8.350
Ag 0.000 1.457 0.000
Ag -1.072 1.457 4.782
Ag -1.483 0.000 7.227
Ag 1.473 1.457 3.542
Ag 1.052 0.000 6.021
Ag 4.008 1.457 2.337
Ag 4.669 0.000 0.000
Ag 3.597 0.000 4.782
Ag 3.186 1.457 7.227
Ag 6.142 0.000 3.542
Ag 5.721 1.457 6.021
Ag 8.677 0.000 2.337
```

Computed properties:
* space-group type: No. 12
* uncorrected energy: -3.571 eV/atom
* E_form: -0.06 eV per atom
* crystal system: monoclinic



Record 3
Here is a relaxed VSnRh2 crystal from Alexandria via LeMat-Bulk. Energies are from GGA-PBEsol.

Structure (extended XYZ):
```
8
Lattice="4.011 0.000 0.000 0.000 4.011 0.000 0.000 0.000 7.329" Properties=species:S:1:pos:R:3 pbc="T T T"
V 0.000 0.000 0.000
V 2.006 2.006 3.664
Sn 0.000 0.000 3.664
Sn 2.006 2.006 0.000
Rh 0.000 2.006 1.832
Rh 0.000 2.006 5.496
Rh 2.006 0.000 1.832
Rh 2.006 0.000 5.496
```

Computed properties:
* space-group type: No. 139
* uncorrected energy: -7.964 eV/atom
* E_form: -0.42 eV per atom
* crystal system: tetragonal



Question: Which of these has the lowest E_form?
Answer: VSnRh2



Question: Among the records above, which one has the highest E_form?
Answer: ScMn



Question: Look up the uncorrected energy of the first one.
Answer: -8.095 eV/atom



Question: The lowest E_form belongs to which entry?
Answer: VSnRh2